[1]
First-principles (PBE) data for a relaxed structure of TlCo3Ag, as listed in Alexandria.

a = 4.709 Å, b = 4.709 Å, c = 4.709 Å
α = 90.00°, β = 90.00°, γ = 90.00°
Fractional positions:
Co (0.000, 0.500, 0.000)
Co (0.000, 0.000, 0.500)
Ag (0.000, 0.000, 0.000)
Tl (0.500, 0.500, 0.500)
Co (0.500, 0.000, 0.000)

Properties
The crystal system is cubic. Its relative energy among the computed polymorphs is 0 meV/atom.

[2]
First-principles (PBE) data for a relaxed structure of KMgBeSe, as listed in Alexandria.

a = 3.579 Å, b = 13.630 Å, c = 4.063 Å
α = 90.00°, β = 90.10°, γ = 90.00°
Fractional positions:
Se (0.000, 0.196, 0.500)
K (0.500, 0.555, 0.500)
Be (0.500, 0.797, 0.000)
Be (0.500, 0.297, 0.500)
Se (0.000, 0.696, 0.000)
Mg (0.000, 0.348, 0.000)
K (0.500, 0.055, 0.000)
Mg (0.000, 0.848, 0.500)

Properties
The energy relative to the elements, uncorrected is -0.28 eV per atom. The crystal system is monoclinic. Its relative energy among the computed polymorphs is 0 meV/atom.

[3]
First-principles (PBE) data for a relaxed structure of SmTh2Zn4, as listed in Alexandria.

a = 5.085 Å, b = 5.085 Å, c = 7.783 Å
α = 109.07°, β = 109.07°, γ = 90.00°
Fractional positions:
Th (0.736, 0.736, 0.473)
Zn (0.110, 0.610, 0.220)
Zn (0.890, 0.390, 0.780)
Zn (0.390, 0.890, 0.780)
Zn (0.610, 0.110, 0.220)
Th (0.264, 0.264, 0.527)
Sm (0.000, 0.000, 0.000)

Properties
The crystal system is tetragonal.

[4]
First-principles (PBE) data for a relaxed structure of LiReTc2, as listed in Alexandria.

a = 2.663 Å, b = 2.663 Å, c = 9.219 Å
α = 90.00°, β = 90.00°, γ = 114.31°
Fractional positions:
Re (0.500, 0.500, 0.750)
Li (0.500, 0.500, 0.250)
Tc (0.000, 0.000, 0.507)
Tc (0.000, 0.000, 0.993)

Properties
The crystal system is orthorhombic. Its relative energy among the computed polymorphs is 129 meV/atom.

[5]
First-principles (PBE) data for a relaxed structure of Rb3HgSe3, as listed in Alexandria.

a = 6.945 Å, b = 7.078 Å, c = 7.078 Å
α = 109.85°, β = 109.09°, γ = 109.09°
Fractional positions:
Se (0.480, 0.000, 0.390)
Rb (0.555, 0.558, 0.558)
Se (0.090, 0.610, 0.610)
Rb (0.997, 0.442, 0.000)
Rb (0.997, 0.000, 0.442)
Se (0.480, 0.390, 0.000)
Hg (0.375, 0.000, 0.000)

Properties
The energy relative to the elements, uncorrected is -0.71 eV per atom. The crystal system is trigonal.

[6]
First-principles (PBE) data for a relaxed structure of SrLaY3, as listed in Alexandria.

a = 5.784 Å, b = 5.784 Å, c = 5.784 Å
α = 90.00°, β = 90.00°, γ = 90.00°
Fractional positions:
Y (0.500, 0.000, 0.000)
Y (0.000, 0.000, 0.500)
La (0.500, 0.500, 0.500)
Sr (0.000, 0.000, 0.000)
Y (0.000, 0.500, 0.000)

Properties
The crystal system is cubic. Its relative energy among the computed polymorphs is 359 meV/atom.

[7]
First-principles (PBE) data for a relaxed structure of La5Zn2In5, as listed in Alexandria.

a = 4.973 Å, b = 8.703 Å, c = 8.725 Å
α = 94.98°, β = 73.44°, γ = 73.40°
Fractional positions:
La (0.334, 0.999, 0.333)
In (0.299, 0.738, 0.664)
Zn (0.560, 0.592, 0.287)
In (0.701, 0.262, 0.336)
La (0.000, 0.500, 0.500)
In (0.000, 0.000, 0.000)
In (0.986, 0.257, 0.771)
In (0.014, 0.743, 0.229)
La (0.305, 0.325, 0.066)
La (0.695, 0.675, 0.934)
La (0.666, 0.001, 0.667)
Zn (0.440, 0.408, 0.713)

Properties
The crystal system is monoclinic.

[8]
First-principles (PBE) data for a relaxed structure of Ce6Ir2RhI3, as listed in Alexandria.

a = 7.206 Å, b = 7.206 Å, c = 8.331 Å
α = 98.29°, β = 98.29°, γ = 120.00°
Fractional positions:
Ce (0.397, 0.062, 0.186)
Ce (0.728, 0.728, 0.186)
I (0.500, 0.500, 0.500)
Ce (0.603, 0.938, 0.814)
Ir (0.667, 0.333, 0.000)
Ce (0.272, 0.272, 0.814)
Ce (0.938, 0.603, 0.814)
I (0.167, 0.833, 0.500)
I (0.833, 0.167, 0.500)
Ir (0.333, 0.667, 0.000)
Ce (0.062, 0.397, 0.186)
Rh (0.000, 0.000, 0.000)

Properties
The energy relative to the elements, uncorrected is -0.90 eV per atom. The crystal system is monoclinic.

[9]
First-principles (PBE) data for a relaxed structure of Mg2Bi, as listed in Alexandria.

a = 8.753 Å, b = 8.753 Å, c = 4.774 Å
α = 90.00°, β = 90.00°, γ = 154.51°
Fractional positions:
Bi (0.098, 0.902, 0.500)
Mg (0.980, 0.020, 0.000)
Mg (0.664, 0.336, 0.000)
Mg (0.332, 0.668, 0.000)
Bi (0.806, 0.194, 0.500)
Mg (0.453, 0.547, 0.500)

Properties
The crystal system is orthorhombic.

[10]
First-principles (PBE) data for a relaxed structure of NaAsBr2, as listed in Alexandria.

a = 9.179 Å, b = 9.179 Å, c = 9.179 Å
α = 24.07°, β = 24.07°, γ = 24.07°
Fractional positions:
As (0.000, 0.000, 0.000)
Br (0.903, 0.903, 0.903)
Br (0.097, 0.097, 0.097)
Na (0.500, 0.500, 0.500)

Properties
The energy relative to the elements, uncorrected is -0.53 eV per atom. The crystal system is trigonal. Its relative energy among the computed polymorphs is 0 meV/atom.

[11]
First-principles (PBE) data for a relaxed structure of TbPBr, as listed in Alexandria.

a = 3.948 Å, b = 3.948 Å, c = 12.507 Å
α = 90.00°, β = 90.00°, γ = 120.00°
Fractional positions:
P (0.667, 0.333, 0.957)
P (0.333, 0.667, 0.043)
Br (0.000, 0.000, 0.327)
Br (0.000, 0.000, 0.673)
Tb (0.667, 0.333, 0.178)
Tb (0.333, 0.667, 0.822)

Properties
The energy relative to the elements, uncorrected is -1.20 eV per atom. The crystal system is trigonal. Its relative energy among the computed polymorphs is 217 meV/atom.

[12]
First-principles (PBE) data for a relaxed structure of LiTb2PaAs4, as listed in Alexandria.

a = 4.153 Å, b = 6.972 Å, c = 7.122 Å
α = 108.67°, β = 90.00°, γ = 90.00°
Fractional positions:
As (0.500, 0.751, 0.759)
As (0.500, 0.249, 0.241)
Tb (0.000, 0.500, 0.500)
Tb (0.500, 0.000, 0.500)
As (0.000, 0.757, 0.244)
Pa (0.000, 0.000, 0.000)
As (0.000, 0.243, 0.756)
Li (0.500, 0.500, 0.000)

Properties
The crystal system is monoclinic.

no.,total energy (eV/atom),volume (A^3/atom)
1,-3.801,20.89
2,-2.754,24.77
3,-3.557,25.50
4,-8.515,14.90
5,-2.666,38.45
6,-4.309,38.69
7,-3.862,28.41
8,-6.339,29.90
9,-2.423,26.24
10,-2.858,28.27
11,-5.101,28.14
12,-6.023,24.42